# GGA-PBE TbHoTe6, relaxed
data_TbHoTe6
_space_group_name_H-M_alt 'A m m 2'
_space_group_IT_number 38
_space_group_name_Hall 'A 2 -2'
_cell_length_a 4.341
_cell_length_b 4.339
_cell_length_c 26.680
_cell_angle_alpha 90.00
_cell_angle_beta 90.00
_cell_angle_gamma 90.00
loop_
_atom_site_label
_atom_site_fract_x
_atom_site_fract_y
_atom_site_fract_z
_atom_site_occupancy
Tb1 0.000 0.000 0.000 1
Ho1 0.500 0.000 0.655 1
Te1 0.000 0.000 0.120 1
Te2 0.000 0.000 0.406 1
Te3 0.000 0.000 0.748 1
Te4 0.500 0.000 0.249 1
Te5 0.500 0.000 0.535 1
Te6 0.500 0.000 0.906 1
# N(E_F) (states/eV/f.u.): 2.7
# Spin magnetization (Bohr magnetons per cell): 0.000
# E_tot (eV for the cell shown): -70.7